No. 1
# Pb2SeI

A geometry-optimized Pb2SeI structure (PBE-GGA, Alexandria via LeMat-Bulk).

As for the energy above the most stable polymorph in this dataset: 0.008 eV/atom. The value obtained for the calculated density is 7.5 g cm⁻³. Its electronic total energy is -3.50 eV per atom. Its energy relative to the elements, uncorrected is -0.3847 eV/atom. The total moment is 0.0 μB/f.u.

```
Pb2SeI
1.0
5.077 -8.303 0.000
5.077 8.303 0.000
-4.107 0.000 6.508
Pb Se I
8 4 4
direct
0.044 0.419 0.296
0.169 0.303 0.707
0.303 0.169 0.207
0.419 0.044 0.796
0.581 0.956 0.204
0.697 0.831 0.793
0.831 0.697 0.293
0.956 0.581 0.704
0.062 0.938 0.750
0.316 0.684 0.750
0.684 0.316 0.250
0.938 0.062 0.250
0.189 0.811 0.250
0.437 0.563 0.250
0.563 0.437 0.750
0.811 0.189 0.750
```

---

No. 2
# ZrTa2Pt

A geometry-optimized ZrTa2Pt structure (PBE-GGA, Alexandria via LeMat-Bulk).

The value obtained for the calculated density is 14.8 g cm⁻³. Its electronic total energy is -9.82 eV per atom. The total moment is 0.0 μB/f.u. The calculation puts the formation energy at -0.2472 eV/atom.

```
ZrTa2Pt
1.0
5.675 0.000 0.000
0.000 9.529 0.000
-0.964 0.000 2.685
Zr Ta Pt
2 4 2
direct
0.000 0.000 0.000
0.500 0.500 0.000
0.250 0.250 0.500
0.250 0.750 0.500
0.750 0.250 0.500
0.750 0.750 0.500
0.000 0.500 0.000
0.500 0.000 0.000
```

---

No. 3
# Tm4HgPbN

A geometry-optimized Tm4HgPbN structure (PBE-GGA, Alexandria via LeMat-Bulk).

The value obtained for the calculated density is 10.8 g cm⁻³. Its electronic total energy is -5.12 eV per atom. Its energy relative to the elements, uncorrected is -0.8000 eV/atom. The total moment is 0.0 μB/f.u.

```
Tm4HgPbN
1.0
3.291 -7.775 0.000
3.291 7.775 0.000
0.000 0.000 6.572
Tm Hg Pb N
8 2 2 2
direct
0.000 0.500 0.000
0.000 0.500 0.500
0.081 0.919 0.750
0.409 0.591 0.750
0.500 0.000 0.000
0.500 0.000 0.500
0.591 0.409 0.250
0.919 0.081 0.250
0.115 0.885 0.250
0.885 0.115 0.750
0.393 0.607 0.250
0.607 0.393 0.750
0.252 0.748 0.750
0.748 0.252 0.250
```

---

No. 4
# YHf2Cu

A geometry-optimized YHf2Cu structure (PBE-GGA, Alexandria via LeMat-Bulk).

As for the energy above the most stable polymorph in this dataset: 0.028 eV/atom. The value obtained for the calculated density is 9.4 g cm⁻³. Its electronic total energy is -7.19 eV per atom. The total moment is 0.0 μB/f.u. The calculation puts the formation energy at 0.4272 eV/atom.

```
YHf2Cu
1.0
4.115 0.000 0.000
0.000 4.115 0.000
0.000 0.000 21.288
Y Hf Cu
4 8 4
direct
0.000 0.000 0.000
0.000 0.500 0.250
0.500 0.000 0.750
0.500 0.500 0.500
0.237 0.250 0.625
0.250 0.737 0.875
0.250 0.763 0.375
0.263 0.250 0.125
0.737 0.750 0.125
0.750 0.237 0.375
0.750 0.263 0.875
0.763 0.750 0.625
0.000 0.000 0.500
0.000 0.500 0.750
0.500 0.000 0.250
0.500 0.500 0.000
```

---

No. 5
# Ca2Zn2CdPd5

A geometry-optimized Ca2Zn2CdPd5 structure (PBE-GGA, Alexandria via LeMat-Bulk).

The value obtained for the calculated density is 7.8 g cm⁻³. Its electronic total energy is -3.95 eV per atom. The total moment is 0.0 μB/f.u. The calculation puts the formation energy at -0.6035 eV/atom.

```
Ca2Zn2CdPd5
1.0
9.803 0.000 0.000
0.000 9.803 0.000
0.000 0.000 3.803
Ca Zn Cd Pd
4 4 2 10
direct
0.176 0.324 0.000
0.324 0.824 0.000
0.676 0.176 0.000
0.824 0.676 0.000
0.122 0.622 0.000
0.378 0.122 0.000
0.622 0.878 0.000
0.878 0.378 0.000
0.000 0.000 0.000
0.500 0.500 0.000
0.000 0.500 0.500
0.067 0.792 0.500
0.208 0.067 0.500
0.292 0.567 0.500
0.433 0.292 0.500
0.500 0.000 0.500
0.567 0.708 0.500
0.708 0.433 0.500
0.792 0.933 0.500
0.933 0.208 0.500
```

---

No. 6
# Na2Y2Ti

A geometry-optimized Na2Y2Ti structure (PBE-GGA, Alexandria via LeMat-Bulk).

As for the energy above the most stable polymorph in this dataset: 0.100 eV/atom. The value obtained for the calculated density is 3.1 g cm⁻³. Its electronic total energy is -3.89 eV per atom. The total moment is 4.4 μB/f.u. The calculation puts the formation energy at 0.8024 eV/atom.

```
Na2Y2Ti
1.0
5.915 0.000 0.000
0.000 5.915 0.000
0.000 0.000 8.402
Na Y Ti
4 4 2
direct
0.000 0.000 0.139
0.000 0.000 0.861
0.500 0.500 0.361
0.500 0.500 0.639
0.000 0.500 0.250
0.000 0.500 0.750
0.500 0.000 0.250
0.500 0.000 0.750
0.000 0.000 0.500
0.500 0.500 0.000
```

---

No. 7
# GaB2As

A geometry-optimized GaB2As structure (PBE-GGA, Alexandria via LeMat-Bulk).

As for the energy above the most stable polymorph in this dataset: 0.035 eV/atom. The value obtained for the calculated density is 4.6 g cm⁻³. Its electronic total energy is -5.01 eV per atom. The total moment is 0.0 μB/f.u. The calculation puts the formation energy at 0.2490 eV/atom.

```
GaB2As
1.0
3.313 0.000 0.000
1.552 4.116 0.000
0.193 2.210 8.823
Ga B As
2 4 2
direct
0.000 0.000 0.000
0.458 0.082 0.769
0.018 0.824 0.469
0.350 0.621 0.642
0.587 0.675 0.469
0.818 0.689 0.641
0.288 0.368 0.136
0.803 0.316 0.345
```

---

No. 8
# ScAl2Cl

A geometry-optimized ScAl2Cl structure (PBE-GGA, Alexandria via LeMat-Bulk).

As for the energy above the most stable polymorph in this dataset: 0.192 eV/atom. The value obtained for the calculated density is 2.8 g cm⁻³. Its electronic total energy is -4.25 eV per atom. Its energy relative to the elements, uncorrected is -0.3362 eV/atom. The total moment is 0.0 μB/f.u.

```
ScAl2Cl
1.0
3.134 0.000 0.000
0.000 5.136 0.000
-0.893 0.000 4.970
Sc Al Cl
1 2 1
direct
0.000 0.000 0.000
0.382 0.500 0.746
0.618 0.500 0.254
0.000 0.000 0.500
```

---

No. 9
# Ca2TbZn2Pd5

A geometry-optimized Ca2TbZn2Pd5 structure (PBE-GGA, Alexandria via LeMat-Bulk).

The value obtained for the calculated density is 7.8 g cm⁻³. Its electronic total energy is -4.41 eV per atom. The total moment is 0.0 μB/f.u. The calculation puts the formation energy at -0.6977 eV/atom.

```
Ca2TbZn2Pd5
1.0
10.135 0.000 0.000
0.000 10.135 0.000
0.000 0.000 3.762
Ca Tb Zn Pd
4 2 4 10
direct
0.174 0.326 0.000
0.326 0.826 0.000
0.674 0.174 0.000
0.826 0.674 0.000
0.000 0.000 0.000
0.500 0.500 0.000
0.122 0.622 0.000
0.378 0.122 0.000
0.622 0.878 0.000
0.878 0.378 0.000
0.000 0.500 0.500
0.069 0.788 0.500
0.212 0.069 0.500
0.288 0.569 0.500
0.431 0.288 0.500
0.500 0.000 0.500
0.569 0.712 0.500
0.712 0.431 0.500
0.788 0.931 0.500
0.931 0.212 0.500
```

---

No. 10
# BaSc2Al2

A geometry-optimized BaSc2Al2 structure (PBE-GGA, Alexandria via LeMat-Bulk).

As for the energy above the most stable polymorph in this dataset: 0.000 eV/atom. The value obtained for the calculated density is 3.8 g cm⁻³. Its electronic total energy is -4.59 eV per atom. The total moment is 0.0 μB/f.u. The calculation puts the formation energy at -0.1771 eV/atom.

```
BaSc2Al2
1.0
8.868 0.000 0.000
0.000 8.868 0.000
0.000 0.000 3.166
Ba Sc Al
2 4 4
direct
0.000 0.000 0.000
0.500 0.500 0.000
0.124 0.376 0.000
0.376 0.876 0.000
0.624 0.124 0.000
0.876 0.624 0.000
0.169 0.669 0.500
0.331 0.169 0.500
0.669 0.831 0.500
0.831 0.331 0.500
```

---

No. 11
# Dy2BiRu

A geometry-optimized Dy2BiRu structure (PBE-GGA, Alexandria via LeMat-Bulk).

As for the energy above the most stable polymorph in this dataset: 0.234 eV/atom. The value obtained for the calculated density is 10.2 g cm⁻³. Its electronic total energy is -5.90 eV per atom. The total moment is 0.0 μB/f.u. The calculation puts the formation energy at -0.3088 eV/atom.

```
Dy2BiRu
1.0
3.667 0.000 0.000
-1.833 3.176 0.000
0.000 0.000 26.750
Dy Bi Ru
6 3 3
direct
0.000 0.000 0.235
0.000 0.000 0.765
0.333 0.667 0.432
0.333 0.667 0.901
0.667 0.333 0.099
0.667 0.333 0.568
0.000 0.000 0.000
0.333 0.667 0.667
0.667 0.333 0.333
0.000 0.000 0.500
0.333 0.667 0.167
0.667 0.333 0.833
```

---

No. 12
# AlIn4Hg2

A geometry-optimized AlIn4Hg2 structure (PBE-GGA, Alexandria via LeMat-Bulk).

The value obtained for the calculated density is 6.7 g cm⁻³. Its electronic total energy is -1.96 eV per atom. The total moment is 0.0 μB/f.u. The calculation puts the formation energy at 0.2252 eV/atom.

```
AlIn4Hg2
1.0
5.400 0.000 0.000
0.000 5.400 0.000
0.000 0.000 15.010
Al In Hg
2 8 4
direct
0.000 0.000 0.000
0.500 0.500 0.500
0.000 0.000 0.188
0.000 0.000 0.812
0.000 0.500 0.000
0.000 0.500 0.500
0.500 0.000 0.000
0.500 0.000 0.500
0.500 0.500 0.312
0.500 0.500 0.688
0.000 0.000 0.381
0.000 0.000 0.619
0.500 0.500 0.119
0.500 0.500 0.881
```

---

One value per record, in order, for N(E_F): 1.181, 3.656, 4.193, 3.403, 3.804, 12.910, 0.794, 1.561, 4.724, 4.208, 4.234, 3.863 states/eV/f.u..